# U2GaW PBE optimized geometry
data_U2GaW
_chemical_formula_sum 'U2 Ga1 W1'
_space_group_name_H-M_alt 'P 1'
_space_group_IT_number 1
_space_group_name_Hall 'P 1'
_cell_length_a 4.075
_cell_length_b 4.075
_cell_length_c 4.473
_cell_angle_alpha 90.00
_cell_angle_beta 90.00
_cell_angle_gamma 90.00
loop_
_atom_site_label
_atom_site_type_symbol
_atom_site_fract_x
_atom_site_fract_y
_atom_site_fract_z
_atom_site_occupancy
U1 U 0.000 0.500 0.000 1
U2 U 0.500 0.000 0.000 1
Ga1 Ga 0.000 0.000 0.500 1
W1 W 0.500 0.500 0.500 1
# energy relative to the lowest polymorph listed for this composition = 0.0 meV per atom
# space group = P4/mmm (123)
# total moment = 0.001 μB/atom
# formation energy = 2.48 kcal/mol of atoms
# E = -9.532 eV/atom